## LiNbP2O8 (SCAN)

Data for a crystal of LiNbP2O8 relaxed with PBEsol.

a = 5.2648 Å, b = 8.1606 Å, c = 7.1718 Å
α = 90.00°, β = 90.00°, γ = 90.00°
Fractional coordinates of all 24 atoms:
Li (0.0000, 0.2192, 0.0000)
Li (0.5000, 0.7808, 0.5000)
Nb (0.0000, 0.2505, 0.4142)
Nb (0.5000, 0.7495, 0.9142)
P (0.0000, 0.5522, 0.0887)
P (0.0000, 0.9285, 0.7133)
P (0.5000, 0.0715, 0.2133)
P (0.5000, 0.4478, 0.5887)
O (0.0000, 0.0309, 0.5268)
O (0.0000, 0.0341, 0.8805)
O (0.0000, 0.4338, 0.9317)
O (0.0000, 0.4689, 0.2835)
O (0.2329, 0.6725, 0.0794)
O (0.2410, 0.8156, 0.7096)
O (0.2590, 0.1844, 0.2096)
O (0.2671, 0.3275, 0.5794)
O (0.5000, 0.5311, 0.7835)
O (0.5000, 0.5662, 0.4317)
O (0.5000, 0.9659, 0.3805)
O (0.5000, 0.9691, 0.0268)
O (0.7329, 0.3275, 0.5794)
O (0.7410, 0.1844, 0.2096)
O (0.7590, 0.8156, 0.7096)
O (0.7671, 0.6725, 0.0794)

Properties
Uncorrected formation energy, kJ/mol of atoms: -245
Symmetry: Pmn2_1, No. 31

## CaSiPt (SCAN)

Data for a crystal of CaSiPt relaxed with PBEsol.

a = 4.0758 Å, b = 4.0758 Å, c = 4.2753 Å
α = 90.00°, β = 90.00°, γ = 120.00°
Fractional coordinates of all 3 atoms:
Ca (0.0000, 0.0000, 0.0000)
Si (0.6667, 0.3333, 0.5000)
Pt (0.3333, 0.6667, 0.5000)

Properties
Uncorrected formation energy, kJ/mol of atoms: -103
Symmetry: P-6m2, No. 187